# 1
The following is a PBE calculation of Ac6La8Pr after structural relaxation, from Alexandria via LeMat-Bulk.

Cell and atoms, written as POSCAR:
```
Ac6La8Pr
1.0
4.844 2.797 7.412
-4.844 2.797 7.412
0.000 -5.593 7.412
Ac La Pr
6 8 1
Cartesian
-3.403 -1.101 10.207 Ac
-0.748 -3.497 12.031 Ac
-2.655 2.396 12.031 Ac
2.655 -2.396 10.207 Ac
0.748 3.497 10.207 Ac
3.403 1.101 12.031 Ac
0.000 0.000 1.629 La
-0.277 -2.122 7.993 La
-1.699 1.301 7.993 La
-1.976 -0.821 14.244 La
1.976 0.821 7.993 La
1.699 -1.301 14.244 La
0.277 2.122 14.244 La
0.000 0.000 20.608 La
0.000 0.000 11.119 Pr
```

Results
**Energy of formation from the pure elements**: 90 meV/atom
**DOS at the Fermi energy**: 26.14 states/eV per cell
**Crystal system**: trigonal

=====

# 2
The following is a PBE calculation of Ac5La4Pr2 after structural relaxation, from Alexandria via LeMat-Bulk.

Cell and atoms, written as POSCAR:
```
Ac5La4Pr2
1.0
9.490 0.000 0.000
0.000 3.742 0.000
-0.350 0.000 12.765
Ac La Pr
5 4 2
Cartesian
0.000 0.000 0.000 Ac
1.677 0.000 6.754 Ac
2.393 0.000 10.421 Ac
6.748 0.000 2.344 Ac
7.463 0.000 6.011 Ac
0.611 1.871 3.433 La
4.291 1.871 4.548 La
4.850 1.871 8.217 La
8.530 1.871 9.332 La
3.307 0.000 1.458 Pr
5.833 0.000 11.307 Pr
```

Results
**Energy of formation from the pure elements**: 127 meV/atom
**DOS at the Fermi energy**: 19.78 states/eV per cell
**Crystal system**: monoclinic
**Polymorph energy (0 for the lowest one)**: 0.0 meV per atom

=====

# 3
The following is a PBE calculation of AcLa4Pr6 after structural relaxation, from Alexandria via LeMat-Bulk.

Cell and atoms, written as POSCAR:
```
AcLa4Pr6
1.0
-3.436 3.436 8.963
3.436 -3.436 8.963
3.436 3.436 -8.963
Ac La Pr
1 4 6
Cartesian
0.000 0.000 0.000 Ac
1.313 1.313 -3.275 La
2.122 -2.122 12.238 La
2.122 2.122 5.688 La
-2.122 2.122 12.238 La
3.436 0.000 0.000 Pr
1.216 -1.216 6.734 Pr
2.220 2.220 2.229 Pr
0.000 3.436 0.000 Pr
-1.216 1.216 6.734 Pr
1.216 1.216 11.192 Pr
```

Results
**Energy of formation from the pure elements**: 276 meV/atom
**DOS at the Fermi energy**: 18.92 states/eV per cell
**Crystal system**: tetragonal
**Polymorph energy (0 for the lowest one)**: 0.0 meV per atom

=====

# 4
The following is a PBE calculation of Ac2La5Pr12 after structural relaxation, from Alexandria via LeMat-Bulk.

Cell and atoms, written as POSCAR:
```
Ac2La5Pr12
1.0
8.206 -4.852 0.000
8.206 4.852 0.000
-0.172 0.000 9.070
Ac La Pr
2 5 12
Cartesian
8.206 3.074 0.000 Ac
8.206 -3.074 0.000 Ac
3.357 0.000 0.194 La
4.374 0.000 3.841 La
8.119 0.000 4.535 La
11.865 0.000 5.229 La
12.882 0.000 8.876 La
1.004 0.000 3.068 Pr
6.107 3.007 3.106 Pr
5.556 1.723 6.840 Pr
10.132 3.007 5.964 Pr
6.771 0.000 1.080 Pr
10.683 1.723 2.230 Pr
5.556 -1.723 6.840 Pr
9.468 0.000 7.990 Pr
6.107 -3.007 3.106 Pr
10.683 -1.723 2.230 Pr
10.132 -3.007 5.964 Pr
15.235 0.000 6.002 Pr
```

Results
**Energy of formation from the pure elements**: 123 meV/atom
**DOS at the Fermi energy**: 28.14 states/eV per cell
**Crystal system**: monoclinic
**Polymorph energy (0 for the lowest one)**: 28.0 meV per atom

=====

# 5
The following is a PBE calculation of Ac5La5Pr after structural relaxation, from Alexandria via LeMat-Bulk.

Cell and atoms, written as POSCAR:
```
Ac5La5Pr
1.0
6.681 0.000 0.000
-3.340 5.786 0.000
0.000 0.000 12.351
Ac La Pr
5 5 1
Cartesian
0.000 0.000 2.988 Ac
0.000 0.000 9.363 Ac
1.691 0.976 0.000 Ac
4.990 0.976 0.000 Ac
3.340 3.834 0.000 Ac
0.000 0.000 6.176 La
0.000 3.857 2.135 La
0.000 3.857 10.216 La
3.340 1.929 4.234 La
3.340 1.929 8.118 La
0.000 3.857 6.176 Pr
```

Results
**Energy of formation from the pure elements**: 384 meV/atom
**DOS at the Fermi energy**: 20.79 states/eV per cell
**Crystal system**: hexagonal

=====

# 6
The following is a PBE calculation of Ac2La4Pr5 after structural relaxation, from Alexandria via LeMat-Bulk.

Cell and atoms, written as POSCAR:
```
Ac2La4Pr5
1.0
6.926 0.000 0.000
0.000 20.303 0.000
0.000 0.000 6.016
Ac La Pr
4 8 10
Cartesian
0.766 4.016 0.000 Ac
2.698 14.168 0.000 Ac
4.229 6.135 0.000 Ac
6.161 16.287 0.000 Ac
0.744 7.599 0.000 La
1.459 0.317 0.000 La
2.004 10.469 0.000 La
2.719 17.751 0.000 La
4.207 2.552 0.000 La
4.922 9.834 0.000 La
5.468 19.986 0.000 La
6.182 12.704 0.000 La
0.000 10.152 3.008 Pr
0.283 18.394 3.008 Pr
0.440 14.324 3.008 Pr
3.024 4.173 3.008 Pr
3.180 8.242 3.008 Pr
3.463 0.000 3.008 Pr
3.746 12.061 3.008 Pr
3.903 16.131 3.008 Pr
6.487 5.979 3.008 Pr
6.643 1.909 3.008 Pr
```

Results
**Energy of formation from the pure elements**: 100 meV/atom
**DOS at the Fermi energy**: 35.60 states/eV per cell
**Crystal system**: orthorhombic
**Polymorph energy (0 for the lowest one)**: 0.0 meV per atom

=====

# 7
The following is a PBE calculation of Ac3LaPr after structural relaxation, from Alexandria via LeMat-Bulk.

Cell and atoms, written as POSCAR:
```
Ac3LaPr
1.0
8.684 0.000 0.000
0.000 5.917 0.000
-2.547 0.000 8.472
Ac La Pr
6 2 2
Cartesian
-0.560 1.479 2.885 Ac
2.924 4.438 0.191 Ac
1.888 4.438 4.419 Ac
4.249 1.479 4.053 Ac
3.214 1.479 8.281 Ac
6.697 4.438 5.587 Ac
-1.776 1.479 7.957 La
7.914 4.438 0.516 La
0.672 1.479 6.015 Pr
5.465 4.438 2.457 Pr
```

Results
**Energy of formation from the pure elements**: 217 meV/atom
**DOS at the Fermi energy**: 13.33 states/eV per cell
**Crystal system**: monoclinic
**Polymorph energy (0 for the lowest one)**: 193.0 meV per atom

=====

# 8
The following is a PBE calculation of AcLa12Pr7 after structural relaxation, from Alexandria via LeMat-Bulk.

Cell and atoms, written as POSCAR:
```
AcLa12Pr7
1.0
-5.943 5.943 5.943
5.943 -5.943 5.943
5.943 5.943 -5.943
Ac La Pr
1 12 7
Cartesian
0.000 0.000 0.000 Ac
5.943 2.914 -2.914 La
5.943 -2.914 2.914 La
2.914 5.943 -2.914 La
3.029 3.029 0.000 La
3.029 0.000 3.029 La
2.914 -2.914 5.943 La
5.943 2.914 2.914 La
0.000 3.029 3.029 La
-2.914 5.943 2.914 La
-2.914 2.914 5.943 La
2.914 5.943 2.914 La
2.914 2.914 5.943 La
2.972 2.972 -2.972 Pr
2.972 -2.972 2.972 Pr
5.943 0.000 0.000 Pr
-2.972 2.972 2.972 Pr
0.000 5.943 0.000 Pr
0.000 0.000 5.943 Pr
2.972 2.972 2.972 Pr
```

Results
**Energy of formation from the pure elements**: 487 meV/atom
**DOS at the Fermi energy**: 35.99 states/eV per cell
**Crystal system**: cubic
**Polymorph energy (0 for the lowest one)**: 419.0 meV per atom

=====

# 9
The following is a PBE calculation of AcLa2Pr after structural relaxation, from Alexandria via LeMat-Bulk.

Cell and atoms, written as POSCAR:
```
AcLa2Pr
1.0
3.816 0.000 0.000
0.000 3.816 0.000
0.000 0.000 10.639
Ac La Pr
1 2 1
Cartesian
0.000 0.000 0.000 Ac
1.908 1.908 2.772 La
1.908 1.908 7.867 La
0.000 0.000 5.319 Pr
```

Results
**Energy of formation from the pure elements**: 18 meV/atom
**DOS at the Fermi energy**: 7.29 states/eV per cell
**Crystal system**: tetragonal
**Polymorph energy (0 for the lowest one)**: 9.9 meV per atom

=====

# 10
The following is a PBE calculation of Ac12La7Pr after structural relaxation, from Alexandria via LeMat-Bulk.

Cell and atoms, written as POSCAR:
```
Ac12La7Pr
1.0
10.515 6.071 2.244
-10.515 6.071 2.244
0.000 -12.141 2.244
Ac La Pr
12 7 1
Cartesian
-4.336 -4.632 2.244 Ac
-6.179 -1.439 2.244 Ac
0.000 -4.235 1.269 Ac
-3.668 2.118 1.269 Ac
4.336 -4.632 2.244 Ac
-1.843 6.071 2.244 Ac
3.668 2.118 1.269 Ac
-3.668 -2.118 5.461 Ac
6.179 -1.439 2.244 Ac
1.843 6.071 2.244 Ac
3.668 -2.118 5.461 Ac
0.000 4.235 5.461 Ac
0.000 0.000 0.000 La
-2.578 -1.488 2.013 La
2.578 -1.488 2.013 La
0.000 2.976 2.013 La
0.000 -2.976 4.718 La
-2.578 1.488 4.718 La
2.578 1.488 4.718 La
0.000 0.000 3.365 Pr
```

Results
**Energy of formation from the pure elements**: 181 meV/atom
**DOS at the Fermi energy**: 27.77 states/eV per cell
**Crystal system**: trigonal

=====

# 11
The following is a PBE calculation of Ac3La4Pr2 after structural relaxation, from Alexandria via LeMat-Bulk.

Cell and atoms, written as POSCAR:
```
Ac3La4Pr2
1.0
8.110 -2.692 0.000
8.110 2.692 0.000
-2.729 0.000 8.110
Ac La Pr
3 4 2
Cartesian
0.000 0.000 0.000 Ac
0.014 0.000 5.404 Ac
13.475 0.000 2.706 Ac
2.681 0.000 2.700 La
5.347 0.000 5.413 La
8.143 0.000 2.697 La
10.808 0.000 5.410 La
5.386 0.000 0.002 Pr
8.103 0.000 8.108 Pr
```

Results
**Energy of formation from the pure elements**: 19 meV/atom
**DOS at the Fermi energy**: 16.78 states/eV per cell
**Crystal system**: monoclinic
**Polymorph energy (0 for the lowest one)**: 0.0 meV per atom

=====

# 12
The following is a PBE calculation of Ac2La12Pr5 after structural relaxation, from Alexandria via LeMat-Bulk.

Cell and atoms, written as POSCAR:
```
Ac2La12Pr5
1.0
9.445 -6.023 0.000
9.445 6.023 0.000
-1.513 0.000 6.273
Ac La Pr
2 12 5
Cartesian
9.445 3.368 0.000 Ac
9.445 -3.368 0.000 Ac
4.447 2.898 4.996 La
0.938 0.000 6.176 La
6.865 2.959 2.450 La
10.511 2.959 3.823 La
7.306 0.000 4.550 La
12.930 2.898 1.277 La
4.447 -2.898 4.996 La
10.070 0.000 1.722 La
6.865 -2.959 2.450 La
10.511 -2.959 3.823 La
16.438 0.000 0.097 La
12.930 -2.898 1.277 La
-0.756 0.000 3.136 Pr
3.191 0.000 3.386 Pr
5.907 0.000 0.944 Pr
11.470 0.000 5.328 Pr
14.185 0.000 2.887 Pr
```

Results
**Energy of formation from the pure elements**: 79 meV/atom
**DOS at the Fermi energy**: 29.68 states/eV per cell
**Crystal system**: monoclinic
**Polymorph energy (0 for the lowest one)**: 0.0 meV per atom